Computed, not measured: crystalline Zn12Ag6Ge at its relaxed geometry at the PBE level of DFT.

## Properties
theoretical density = 7.96 g cm⁻³
formation energy from the elements = 3.3 kJ/mol of atoms
E_tot = -1.91 eV/atom

a b c (Å): 9.5560 9.5560 11.9139
angles (deg): 90.00 90.00 120.00
Space group R-3 (No. 148, hexagonal axes)
Inequivalent atoms, fractional coordinates:
Zn (0.0492, 0.8662, 0.3023) x18
Zn (0.0582, 0.2080, 0.9140) x18
Ag (0.0198, 0.5924, 0.2108) x18
Ge (0.0000, 0.0000, 0.5000) x3

Computed, not measured: crystalline KBeRh4 at its relaxed geometry at the PBE level of DFT.

## Properties
theoretical density = 7.49 g cm⁻³
formation energy from the elements = 61.5 kJ/mol of atoms
E_tot = -5.07 eV/atom

a b c (Å): 7.416 7.416 7.416
angles (deg): 90.00 90.00 90.00
Space group F-43m (No. 216)
Inequivalent atoms, fractional coordinates:
K (0.000, 0.000, 0.000) x4
Be (0.250, 0.250, 0.250) x4
Rh (0.124, 0.124, 0.624) x16

Computed, not measured: crystalline Ac2La3PrS6 at its relaxed geometry at the PBE level of DFT.

## Properties
uncorrected formation energy = -2.0901 eV per atom
theoretical density = 6.36 g cm⁻³
E_tot = -6.47 eV/atom

a b c (Å): 7.270 12.608 7.276
angles (deg): 90.00 109.57 90.00
Space group C2/m (No. 12)
Inequivalent atoms, fractional coordinates:
Ac (0.000, 0.166, 0.000) x4
La (0.000, 0.000, 0.500) x2
La (0.000, 0.333, 0.500) x4
Pr (0.000, 0.500, 0.000) x2
S (0.242, 0.500, 0.743) x4
S (0.249, 0.336, 0.255) x8